! PBEsol LiSnP4O12, relaxed; values from VASP
! **Formation energy (no corrections)**: -2049 meV per atom
! **Distance to the lowest polymorph of the same formula**: 22.5 meV per atom
! **D(E_F)**: 3.773 states/eV/f.u.
! **E_tot**: -517.0 eV/cell
&SYSTEM
  ibrav = 0, nat = 72, ntyp = 4
/
ATOMIC_SPECIES
O 16.00 O.upf
Li 6.94 Li.upf
Sn 118.71 Sn.upf
P 30.97 P.upf
CELL_PARAMETERS angstrom
-7.642 -3.136 -1.415
0.654 -5.319 8.250
-5.214 9.699 6.666
ATOMIC_POSITIONS crystal
O 0.902 0.621 0.910
O 0.402 0.621 0.590
Li 0.997 0.750 0.000
O 0.577 0.565 0.270
Sn 0.115 0.250 0.500
O 0.447 0.390 0.921
O 0.553 0.610 0.079
O 0.423 0.435 0.730
O 0.842 0.024 0.679
O 0.342 0.476 0.179
P 0.669 0.506 0.371
O 0.658 0.524 0.821
O 0.888 0.631 0.645
O 0.158 0.524 0.679
Li 0.503 0.250 0.500
O 0.402 0.879 0.410
O 0.658 0.976 0.179
O 0.320 0.130 0.441
P 0.831 0.494 0.871
O 0.112 0.369 0.355
O 0.680 0.870 0.559
P 0.027 0.503 0.339
P 0.527 0.997 0.839
P 0.169 0.994 0.871
O 0.947 0.110 0.421
O 0.842 0.476 0.321
P 0.527 0.503 0.161
O 0.612 0.131 0.855
P 0.973 0.497 0.661
O 0.098 0.121 0.910
O 0.923 0.065 0.230
O 0.342 0.024 0.821
P 0.473 0.003 0.161
P 0.027 0.997 0.661
O 0.553 0.890 0.921
O 0.820 0.370 0.941
O 0.820 0.130 0.059
Sn 0.385 0.750 0.000
O 0.923 0.435 0.770
P 0.831 0.006 0.129
P 0.973 0.003 0.339
O 0.612 0.369 0.145
O 0.180 0.630 0.059
Li 0.497 0.750 0.500
O 0.598 0.121 0.590
P 0.473 0.497 0.839
O 0.388 0.869 0.145
O 0.098 0.379 0.090
P 0.331 0.494 0.629
Sn 0.885 0.750 0.500
O 0.598 0.379 0.410
O 0.320 0.370 0.559
P 0.169 0.506 0.129
O 0.947 0.390 0.579
O 0.888 0.869 0.355
O 0.902 0.879 0.090
P 0.331 0.006 0.371
P 0.669 0.994 0.629
O 0.680 0.630 0.441
O 0.077 0.935 0.770
O 0.158 0.976 0.321
Li 0.003 0.250 0.000
O 0.077 0.565 0.230
O 0.388 0.631 0.855
O 0.053 0.890 0.579
O 0.180 0.870 0.941
O 0.423 0.065 0.270
Sn 0.615 0.250 0.000
O 0.577 0.935 0.730
O 0.447 0.110 0.079
O 0.112 0.131 0.645
O 0.053 0.610 0.421